The following is a PBE calculation of a relaxed Si2SbAs crystal, from the Alexandria database.

a b c (Å): 5.5344 5.5344 5.5344
angles (deg): 144.04 127.22 65.53
With the nearest neighbours (Å) after each atom.
Element x y z (fractional)
Si  0.2243  0.2243  0.0000  2 As 2.70
Si  0.7757  0.7757  0.0000  2 As 2.70
Sb  0.5000  0.0000  0.5000  4 As 3.00, 8 Si 3.08-3.23
As  0.0000  0.5000  0.5000  4 Si 2.70, 4 Sb 3.00

Values from the calculation:
symmetry = Immm
energy above the most stable polymorph in this dataset = 348 meV per atom

***

The following is a PBE calculation of a relaxed SiSbAs3 crystal, from the Alexandria database.

a b c (Å): 4.8081 4.8081 4.8081
angles (deg): 90.00 90.00 90.00
With the nearest neighbours (Å) after each atom.
Element x y z (fractional)
Si  0.0000  0.0000  0.0000  6 As 2.40
Sb  0.5000  0.5000  0.5000  12 As 3.40
As  0.0000  0.0000  0.5000  2 Si 2.40
As  0.0000  0.5000  0.0000  2 Si 2.40
As  0.5000  0.0000  0.0000  2 Si 2.40

Values from the calculation:
symmetry = Pm-3m

***

The following is a PBE calculation of a relaxed SiSbAs2 crystal, from the Alexandria database.

a b c (Å): 3.3304 3.3304 8.5618
angles (deg): 90.00 90.00 109.42
With the nearest neighbours (Å) after each atom.
Element x y z (fractional)
Si  0.0000  0.0000  0.0000  2 As 2.45
Sb  0.5000  0.5000  0.2766  2 As 2.75, 2 Si 3.05
As  0.0000  0.0000  0.5061  2 Sb 2.75
As  0.5000  0.5000  0.8234  2 Si 2.45

Values from the calculation:
symmetry = Cmm2
energy above the most stable polymorph in this dataset = 332 meV per atom

***

The following is a PBE calculation of a relaxed Si4SbAs crystal, from the Alexandria database.

a b c (Å): 5.3090 5.3090 5.3090
angles (deg): 60.00 60.00 60.00
With the nearest neighbours (Å) after each atom.
Element x y z (fractional)
Si  0.1239  0.1239  0.1239  6 Si 2.63-2.68
Si  0.1239  0.1239  0.6282  6 Si 2.63-2.68
Si  0.1239  0.6282  0.1239  6 Si 2.63-2.68
Si  0.6282  0.1239  0.1239  6 Si 2.63-2.68
Sb  0.5000  0.5000  0.5000  12 Si 3.12, 4 As 3.25
As  0.7500  0.7500  0.7500  12 Si 3.11, 4 Sb 3.25

Values from the calculation:
symmetry = F-43m

***

The following is a PBE calculation of a relaxed Si2SbAs crystal, from the Alexandria database.

a b c (Å): 4.4252 3.7252 5.3646
angles (deg): 90.00 102.74 90.00
With the nearest neighbours (Å) after each atom.
Element x y z (fractional)
Si  0.0000  0.0000  0.0000  1 As 2.42, 2 Si 2.45
Si  0.3279  0.5000  0.9230  2 Si 2.45, 2 As 2.65, 1 Sb 2.65
Sb  0.7976  0.5000  0.3273  3 Si 2.65-2.84, 2 As 2.95
As  0.5430  0.0000  0.6562  3 Si 2.42-2.65

Values from the calculation:
symmetry = Pm
energy above the most stable polymorph in this dataset = 29 meV per atom

***

The following is a PBE calculation of a relaxed SiSbAs4 crystal, from the Alexandria database.

a b c (Å): 5.6382 5.6382 5.6382
angles (deg): 60.00 60.00 60.00
With the nearest neighbours (Å) after each atom.
Element x y z (fractional)
Si  0.0000  0.0000  0.0000  12 As 3.30, 4 Sb 3.45
Sb  0.2500  0.2500  0.2500  12 As 3.31, 4 Si 3.45
As  0.1153  0.6282  0.6282  6 As 2.75-2.89
As  0.6282  0.1153  0.6282  6 As 2.75-2.89
As  0.6282  0.6282  0.1153  6 As 2.75-2.89
As  0.6282  0.6282  0.6282  6 As 2.75-2.89

Values from the calculation:
symmetry = F-43m

***

The following is a PBE calculation of a relaxed SiSbAs2 crystal, from the Alexandria database.

a b c (Å): 4.7595 4.7595 3.8000
angles (deg): 90.00 90.00 103.86
With the nearest neighbours (Å) after each atom.
Element x y z (fractional)
Si  0.0000  0.0000  0.0000  2 Sb 2.93, 8 As 3.05
Sb  0.5000  0.5000  0.0000  2 Si 2.93, 8 As 3.05
As  0.0000  0.5000  0.5000  2 As 2.93, 4 Sb 3.05, 4 Si 3.05
As  0.5000  0.0000  0.5000  2 As 2.93, 4 Sb 3.05, 4 Si 3.05

Values from the calculation:
symmetry = Cmmm
energy above the most stable polymorph in this dataset = 378 meV per atom

***

The following is a PBE calculation of a relaxed Si2SbAs crystal, from the Alexandria database.

a b c (Å): 4.7784 4.7784 4.7784
angles (deg): 60.00 60.00 60.00
With the nearest neighbours (Å) after each atom.
Element x y z (fractional)
Si  0.2500  0.2500  0.2500  4 As 2.93, 4 Sb 2.93
Si  0.7500  0.7500  0.7500  4 As 2.93, 4 Sb 2.93
Sb  0.0000  0.0000  0.0000  8 Si 2.93
As  0.5000  0.5000  0.5000  8 Si 2.93

Values from the calculation:
symmetry = Fm-3m
energy above the most stable polymorph in this dataset = 361 meV per atom

***

The following is a PBE calculation of a relaxed SiSbAs2 crystal, from the Alexandria database.

a b c (Å): 4.6984 3.9156 4.9460
angles (deg): 90.00 108.32 90.00
With the nearest neighbours (Å) after each atom.
Element x y z (fractional)
Si  0.0000  0.0000  0.0000  4 As 2.65, 2 Sb 2.83
Sb  0.5000  0.0000  0.5000  2 Si 2.83, 4 As 2.90
As  0.2538  0.5000  0.7970  1 As 2.54, 2 Si 2.65
As  0.7462  0.5000  0.2030  1 As 2.54, 2 Si 2.65

Values from the calculation:
symmetry = P2/m
energy above the most stable polymorph in this dataset = 29 meV per atom

***

The following is a PBE calculation of a relaxed Th6Si2Sb3As crystal, from the Alexandria database.

a b c (Å): 9.8653 9.8653 8.8416
angles (deg): 104.34 104.34 25.47
With the nearest neighbours (Å) after each atom.
Element x y z (fractional)
Th  0.0076  0.0076  0.2409  1 Si 2.96, 2 As 3.02, 3 Sb 3.19-3.21
Th  0.3270  0.3270  0.4313  3 Si 2.99-3.00, 3 Sb 3.23
Th  0.3362  0.3362  0.8991  2 Si 2.98, 1 As 3.05, 3 Sb 3.20-3.22
Th  0.6638  0.6638  0.1009  2 Si 2.98, 1 As 3.05, 3 Sb 3.20-3.22
Th  0.6730  0.6730  0.5687  3 Si 2.99-3.00, 3 Sb 3.23
Th  0.9924  0.9924  0.7591  1 Si 2.96, 2 As 3.02, 3 Sb 3.19-3.21
Si  0.1665  0.1665  0.3322  6 Th 2.96-3.00
Si  0.8335  0.8335  0.6678  6 Th 2.96-3.00
Sb  0.1647  0.1647  0.8332  6 Th 3.20-3.23
Sb  0.5000  0.5000  0.5000  6 Th 3.19-3.23
Sb  0.8353  0.8353  0.1668  6 Th 3.20-3.23
As  0.5000  0.5000  0.0000  6 Th 3.02-3.05

Values from the calculation:
symmetry = C2/m

***

The following is a PBE calculation of a relaxed Th4SiSbAs2 crystal, from the Alexandria database.

a b c (Å): 7.4639 4.3085 7.5370
angles (deg): 90.00 109.26 90.00
With the nearest neighbours (Å) after each atom.
Element x y z (fractional)
Th  0.2391  0.0000  0.2323  3 As 2.97-3.10, 1 Si 3.02, 2 Sb 3.15
Th  0.2489  0.5000  0.7623  3 As 2.98-3.09, 2 Si 3.02, 1 Sb 3.14
Th  0.7511  0.5000  0.2377  3 As 2.98-3.09, 2 Si 3.02, 1 Sb 3.14
Th  0.7609  0.0000  0.7677  3 As 2.97-3.10, 1 Si 3.02, 2 Sb 3.15
Si  0.5000  0.0000  0.0000  6 Th 3.02
Sb  0.5000  0.5000  0.5000  6 Th 3.14-3.15
As  0.0000  0.0000  0.5000  6 Th 3.09-3.10
As  0.0000  0.5000  0.0000  6 Th 2.97-2.98

Values from the calculation:
symmetry = P2/m

***

The following is a PBE calculation of a relaxed Th4SiSb2As crystal, from the Alexandria database.

a b c (Å): 7.5282 4.3495 7.7016
angles (deg): 90.00 109.03 90.00
With the nearest neighbours (Å) after each atom.
Element x y z (fractional)
Th  0.2373  0.0000  0.2238  2 Si 2.98, 1 As 3.02, 3 Sb 3.19-3.23
Th  0.2540  0.5000  0.7747  1 Si 2.97, 2 As 3.01, 3 Sb 3.20-3.23
Th  0.7460  0.5000  0.2253  1 Si 2.97, 2 As 3.01, 3 Sb 3.20-3.23
Th  0.7627  0.0000  0.7762  2 Si 2.98, 1 As 3.02, 3 Sb 3.19-3.23
Si  0.0000  0.5000  0.0000  6 Th 2.97-2.98
Sb  0.0000  0.0000  0.5000  6 Th 3.19-3.20
Sb  0.5000  0.5000  0.5000  6 Th 3.23
As  0.5000  0.0000  0.0000  6 Th 3.01-3.02

Values from the calculation:
symmetry = P2/m

***

The following is a PBE calculation of a relaxed Zn2SiSbAs crystal, from the Alexandria database.

a b c (Å): 4.7069 4.7069 5.6151
angles (deg): 90.00 90.00 90.00
With the nearest neighbours (Å) after each atom.
Element x y z (fractional)
Zn  0.0000  0.5000  0.0000  2 As 2.35
Zn  0.5000  0.0000  0.0000  2 As 2.35
Si  0.0000  0.0000  0.5000  4 Sb 3.33, 8 Zn 3.66
Sb  0.5000  0.5000  0.5000  2 As 2.81
As  0.5000  0.5000  0.0000  4 Zn 2.35

Values from the calculation:
symmetry = P4/mmm

***

The following is a PBE calculation of a relaxed Sm3SbAs2 crystal, from the Alexandria database.

a b c (Å): 7.4062 7.4062 10.0908
angles (deg): 90.00 90.00 141.77
With the nearest neighbours (Å) after each atom.
Element x y z (fractional)
Sm  0.1081  0.8919  0.7500  4 As 2.73-2.94
Sm  0.3750  0.6250  0.5562  3 As 2.80-3.04
Sm  0.3750  0.6250  0.9438  3 As 2.80-3.04
Sm  0.6250  0.3750  0.0562  3 As 2.80-3.04
Sm  0.6250  0.3750  0.4438  3 As 2.80-3.04
Sm  0.8919  0.1081  0.2500  4 As 2.73-2.94
Sb  0.2266  0.7734  0.2500  8 Sm 3.35-3.72, 1 As 3.58
Sb  0.7734  0.2266  0.7500  8 Sm 3.35-3.72, 1 As 3.58
As  0.0000  0.0000  0.0000  6 Sm 2.94-3.04
As  0.0000  0.0000  0.5000  6 Sm 2.94-3.04
As  0.4822  0.5178  0.2500  4 Sm 2.73-2.80
As  0.5178  0.4822  0.7500  4 Sm 2.73-2.80

Values from the calculation:
symmetry = Cmcm

***

The following is a PBE calculation of a relaxed SmSbAs crystal, from the Alexandria database.

a b c (Å): 10.4461 10.4461 10.4461
angles (deg): 157.92 157.92 31.42
With the nearest neighbours (Å) after each atom.
Element x y z (fractional)
Sm  0.1161  0.1161  0.0000  4 As 3.02
Sm  0.8839  0.8839  0.0000  4 As 3.02
Sb  0.2870  0.2870  0.0000  1 As 3.01, 4 Sb 3.20
Sb  0.7130  0.7130  0.0000  1 As 3.01, 4 Sb 3.20
As  0.4364  0.4364  0.0000  1 As 2.56
As  0.5636  0.5636  0.0000  1 As 2.56

Values from the calculation:
symmetry = I4/mmm
energy above the most stable polymorph in this dataset = 41 meV per atom

***

The following is a PBE calculation of a relaxed Sm5Sb2As2 crystal, from the Alexandria database.

a b c (Å): 8.6889 8.6889 8.1103
angles (deg): 90.00 90.00 55.10
With the nearest neighbours (Å) after each atom.
Element x y z (fractional)
Sm  0.0000  0.0000  0.0000  4 As 3.08-3.11, 2 Sb 3.12
Sm  0.0312  0.7109  0.6596  3 As 2.99-3.17, 3 Sb 3.18-3.25
Sm  0.2109  0.5312  0.1596  3 As 2.99-3.17, 3 Sb 3.18-3.25
Sm  0.2891  0.9688  0.6596  3 As 2.99-3.17, 3 Sb 3.18-3.25
Sm  0.4688  0.7891  0.1596  3 As 2.99-3.17, 3 Sb 3.18-3.25
Sm  0.5000  0.5000  0.5000  4 As 3.08-3.11, 2 Sb 3.12
Sm  0.5312  0.2109  0.8404  3 As 2.99-3.17, 3 Sb 3.18-3.25
Sm  0.7109  0.0312  0.3404  3 As 2.99-3.17, 3 Sb 3.18-3.25
Sm  0.7891  0.4688  0.8404  3 As 2.99-3.17, 3 Sb 3.18-3.25
Sm  0.9688  0.2891  0.3404  3 As 2.99-3.17, 3 Sb 3.18-3.25
Sb  0.2024  0.2024  0.0000  7 Sm 3.12-3.25
Sb  0.2976  0.2976  0.5000  7 Sm 3.12-3.25
Sb  0.7024  0.7024  0.5000  7 Sm 3.12-3.25
Sb  0.7976  0.7976  0.0000  7 Sm 3.12-3.25
As  0.1452  0.8548  0.3561  8 Sm 2.99-3.17, 1 As 3.30
As  0.3548  0.6452  0.8561  8 Sm 2.99-3.17, 1 As 3.30
As  0.6452  0.3548  0.1439  8 Sm 2.99-3.17, 1 As 3.30
As  0.8548  0.1452  0.6439  8 Sm 2.99-3.17, 1 As 3.30

Values from the calculation:
symmetry = Cmce

***

The following is a PBE calculation of a relaxed Sm2SbAs crystal, from the Alexandria database.

a b c (Å): 7.5654 7.5654 7.5654
angles (deg): 33.24 33.24 33.24
With the nearest neighbours (Å) after each atom.
Element x y z (fractional)
Sm  0.2445  0.2445  0.2445  3 As 3.00, 3 Sb 3.14
Sm  0.7555  0.7555  0.7555  3 As 3.00, 3 Sb 3.14
Sb  0.0000  0.0000  0.0000  6 Sm 3.14
As  0.5000  0.5000  0.5000  6 Sm 3.00

Values from the calculation:
symmetry = R-3m

***

The following is a PBE calculation of a relaxed Sm5SbAs4 crystal, from the Alexandria database.

a b c (Å): 7.3919 7.3919 10.4737
angles (deg): 118.21 118.21 33.50
With the nearest neighbours (Å) after each atom.
Element x y z (fractional)
Sm  0.0000  0.0000  0.0000  6 As 3.01
Sm  0.2040  0.2040  0.8093  5 As 2.95-3.01, 1 Sb 3.10
Sm  0.3941  0.3941  0.6064  4 As 2.96-3.03, 2 Sb 3.11
Sm  0.6059  0.6059  0.3936  4 As 2.96-3.03, 2 Sb 3.11
Sm  0.7960  0.7960  0.1907  5 As 2.95-3.01, 1 Sb 3.10
Sb  0.0000  0.0000  0.5000  6 Sm 3.10-3.11
As  0.2018  0.2018  0.2968  6 Sm 2.96-3.03
As  0.4018  0.4018  0.1007  6 Sm 2.95-3.01
As  0.5982  0.5982  0.8993  6 Sm 2.95-3.01
As  0.7982  0.7982  0.7032  6 Sm 2.96-3.03

Values from the calculation:
symmetry = C2/m

***

The following is a PBE calculation of a relaxed Sm8SbAs6 crystal, from the Alexandria database.

a b c (Å): 10.7479 10.7479 4.3206
angles (deg): 90.00 90.00 120.00
With the nearest neighbours (Å) after each atom.
Element x y z (fractional)
Sm  0.0342  0.6972  0.2425  4 As 2.83-3.03
Sm  0.3028  0.3370  0.2425  4 As 2.83-3.03
Sm  0.3333  0.6667  0.7511  6 As 2.99-3.02
Sm  0.3370  0.0342  0.7575  4 As 2.83-3.03
Sm  0.6630  0.9658  0.2425  4 As 2.83-3.03
Sm  0.6667  0.3333  0.2489  6 As 2.99-3.02
Sm  0.6972  0.6630  0.7575  4 As 2.83-3.03
Sm  0.9658  0.3028  0.7575  4 As 2.83-3.03
Sb  0.0000  0.0000  0.0000  6 Sm 3.61
As  0.1332  0.4779  0.2559  6 Sm 2.83-3.03
As  0.3447  0.8668  0.2559  6 Sm 2.83-3.03
As  0.4779  0.3447  0.7441  6 Sm 2.83-3.03
As  0.5221  0.6553  0.2559  6 Sm 2.83-3.03
As  0.6553  0.1332  0.7441  6 Sm 2.83-3.03
As  0.8668  0.5221  0.7441  6 Sm 2.83-3.03

Values from the calculation:
symmetry = P-3

***

The following is a PBE calculation of a relaxed Sm3Sb2As crystal, from the Alexandria database.

a b c (Å): 7.5863 7.5863 7.6117
angles (deg): 99.56 99.56 119.96
With the nearest neighbours (Å) after each atom.
Element x y z (fractional)
Sm  0.0759  0.4200  0.7599  2 As 3.02-3.03, 4 Sb 3.12-3.18
Sm  0.2347  0.2347  0.2362  2 As 3.02, 4 Sb 3.10-3.16
Sm  0.4200  0.0759  0.7599  2 As 3.02-3.03, 4 Sb 3.12-3.18
Sm  0.5800  0.9241  0.2401  2 As 3.02-3.03, 4 Sb 3.12-3.18
Sm  0.7653  0.7653  0.7638  2 As 3.02, 4 Sb 3.10-3.16
Sm  0.9241  0.5800  0.2401  2 As 3.02-3.03, 4 Sb 3.12-3.18
Sb  0.0000  0.0000  0.5000  6 Sm 3.10-3.18
Sb  0.3375  0.6625  0.5000  6 Sm 3.12-3.18
Sb  0.5000  0.5000  0.0000  6 Sm 3.11-3.13
Sb  0.6625  0.3375  0.5000  6 Sm 3.12-3.18
As  0.1672  0.8328  0.0000  6 Sm 3.02-3.03
As  0.8328  0.1672  0.0000  6 Sm 3.02-3.03

Values from the calculation:
symmetry = C2/m
energy above the most stable polymorph in this dataset = 0 meV per atom

***

| no. | calculated total energy (eV per atom) | uncorrected formation energy (eV per atom) |
| --- | --- | --- |
| 1 | -4.3659 | 0.539 |
| 2 | -4.1440 | 0.555 |
| 3 | -4.2615 | 0.450 |
| 4 | -4.4961 | 0.581 |
| 5 | -4.6842 | 0.220 |
| 6 | -4.0513 | 0.639 |
| 7 | -4.2159 | 0.495 |
| 8 | -4.3522 | 0.552 |
| 9 | -4.5645 | 0.147 |
| 10 | -6.9694 | -0.938 |
| 11 | -7.1474 | -1.082 |
| 12 | -6.9944 | -0.995 |
| 13 | -2.6749 | 0.674 |
| 14 | -5.5519 | -0.955 |
| 15 | -5.2457 | -0.749 |
| 16 | -5.7342 | -1.163 |
| 17 | -5.8897 | -1.337 |
| 18 | -6.0750 | -1.443 |
| 19 | -5.8003 | -1.149 |
| 20 | -5.7850 | -1.276 |